ScFeRe3 after structural relaxation, computed with PBE.

The structure belongs to space group Pm-3m (No. 221); the cell edges are 4.4991, 4.4991 and 4.4991 Å and the angles 90.00°, 90.00° and 90.00°. The asymmetric unit holds Sc at (0.0000, 0.0000, 0.0000), Fe at (0.5000, 0.5000, 0.5000) and Re at (0.0000, 0.0000, 0.5000).

The formation energy comes out at 13.82 eV per formula unit. For the total energy, the calculation gives -7.66 eV per atom. The calculation puts the total magnetization at 0.00 μB per formula unit. As for the density of states at the Fermi level: 12.33 states/eV/cell. Its excess energy over the best structure of this formula in the dataset is 8.61 eV/f.u.